Computed, not measured: a geometry-optimized Ce2TlRh structure at the PBE level of DFT.

Formation energy ... -307 meV/atom
Space-group type ... Pna2_1 (33)

extended XYZ file:
```
16
Lattice="6.0416 0.0000 0.0000 0.0000 8.8839 0.0000 0.0000 0.0000 7.9841" Properties=species:S:1:pos:R:3 pbc="T T T"
Ce 0.0069 0.5510 0.0000
Ce 0.0038 3.3059 2.5076
Ce 3.0139 4.9929 3.9921
Ce 3.0170 7.7478 6.4997
Ce 3.0246 1.1361 2.5076
Ce 3.0277 3.8909 0.0000
Ce 6.0378 5.5780 6.4997
Ce 6.0347 8.3329 3.9921
Tl 1.5033 6.6516 1.3602
Tl 1.5175 2.2097 5.3523
Tl 4.5241 6.6742 1.3602
Tl 4.5383 2.2322 5.3523
Rh 0.0117 3.2983 7.6390
Rh 3.0091 7.7402 3.6469
Rh 3.0325 1.1437 7.6390
Rh 6.0299 5.5856 3.6469
```